Record 1
# ZrPaAu

Crystalline ZrPaAu at its relaxed geometry (PBE, Alexandria).

The value obtained for the total energy is -7.21 eV per atom. The value obtained for the calculated formation energy is -0.11 eV/atom. As for the crystal system: tetragonal. The relative energy among the computed polymorphs is 0.0 meV per atom. The value obtained for the volume is 22.4 Å³/atom.

abc: 3.843 3.843 9.082
angles: 90.00 90.00 90.00
Space group I4mm (No. 107)
Inequivalent atoms, fractional coordinates:
Zr 0.000 0.000 0.000 [2 per cell]
Pa 0.000 0.000 0.687 [2 per cell]
Au 0.000 0.000 0.351 [2 per cell]

=====

Record 2
# Pm2Sn2Rh

Crystalline Pm2Sn2Rh at its relaxed geometry (PBE, Alexandria).

The value obtained for the total energy is -5.79 eV per atom. The value obtained for the calculated formation energy is -0.82 eV/atom. As for the crystal system: monoclinic. The relative energy among the computed polymorphs is 0.0 meV per atom. The value obtained for the volume is 25.6 Å³/atom.

abc: 11.215 4.578 11.157
angles: 90.00 116.42 90.00
Space group C2/m (No. 12)
Inequivalent atoms, fractional coordinates:
Pm 0.000 0.000 0.170 [4 per cell]
Pm 0.188 0.000 0.625 [4 per cell]
Sn 0.026 0.500 0.382 [4 per cell]
Sn 0.156 0.500 0.051 [4 per cell]
Rh 0.224 0.500 0.832 [4 per cell]

=====

Record 3
# CsScHgSe2

Crystalline CsScHgSe2 at its relaxed geometry (PBE, Alexandria).

The value obtained for the total energy is -3.86 eV per atom. For the uncorrected formation energy, the calculation gives -967.2 meV/atom. As for the crystal system: tetragonal. The value obtained for the volume is 32.6 Å³/atom.

abc: 5.305 5.305 5.799
angles: 90.00 90.00 90.00
Space group P4/mmm (No. 123)
Inequivalent atoms, fractional coordinates:
Cs 0.000 0.000 0.000 [1 per cell]
Sc 0.500 0.500 0.500 [1 per cell]
Hg 0.500 0.500 0.000 [1 per cell]
Se 0.000 0.500 0.500 [2 per cell]

=====

Record 4
# Mg4NiBi

Crystalline Mg4NiBi at its relaxed geometry (PBE, Alexandria).

The value obtained for the total energy is -2.84 eV per atom. The value obtained for the calculated formation energy is -0.16 eV/atom. As for the crystal system: monoclinic. The value obtained for the volume is 22.4 Å³/atom.

abc: 8.322 12.833 5.308
angles: 90.00 108.50 90.00
Space group C2/c (No. 15)
Inequivalent atoms, fractional coordinates:
Mg 0.106 0.162 0.054 [8 per cell]
Mg 0.233 0.428 0.369 [8 per cell]
Ni 0.000 0.002 0.250 [4 per cell]
Bi 0.000 0.365 0.750 [4 per cell]

=====

Record 5
# Y5Ge3

Crystalline Y5Ge3 at its relaxed geometry (PBE, Alexandria).

The value obtained for the total energy is -6.61 eV per atom. The value obtained for the calculated formation energy is -0.84 eV/atom. As for the crystal system: hexagonal. The relative energy among the computed polymorphs is 0.0 meV per atom. The value obtained for the volume is 25.3 Å³/atom.

abc: 8.5256 8.5256 6.4358
angles: 90.00 90.00 120.00
Space group P6_3/mcm (No. 193)
Inequivalent atoms, fractional coordinates:
Y 0.0000 0.2421 0.2500 [6 per cell]
Y 0.3333 0.6667 0.0000 [4 per cell]
Ge 0.0000 0.3938 0.7500 [6 per cell]

=====

Record 6
# LiZn12Au7

Crystalline LiZn12Au7 at its relaxed geometry (PBE, Alexandria).

The value obtained for the total energy is -2.17 eV per atom. The value obtained for the calculated formation energy is -0.16 eV/atom. As for the crystal system: trigonal. The value obtained for the volume is 16.8 Å³/atom.

abc: 11.6330 11.6330 8.5981
angles: 90.00 90.00 120.00
Space group R-3 (No. 148, hexagonal axes)
Inequivalent atoms, fractional coordinates:
Li 0.0000 0.0000 0.0000 [3 per cell]
Zn 0.0169 0.7702 0.9233 [18 per cell]
Zn 0.0731 0.4907 0.1448 [18 per cell]
Au 0.0000 0.0000 0.5000 [3 per cell]
Au 0.0038 0.8479 0.2256 [18 per cell]

=====

Record 7
# Cs2HfPdO4

Crystalline Cs2HfPdO4 at its relaxed geometry (PBE, Alexandria).

The value obtained for the total energy is -6.22 eV per atom. For the uncorrected formation energy, the calculation gives -1638.9 meV/atom. As for the crystal system: orthorhombic. The value obtained for the volume is 26.6 Å³/atom.

abc: 5.618 13.334 22.763
angles: 90.00 90.00 90.00
Space group Fddd (No. 70, origin choice 2)
Inequivalent atoms, fractional coordinates:
Cs 0.125 0.125 0.309 [16 per cell]
Hf 0.125 0.125 0.125 [8 per cell]
Pd 0.125 0.125 0.625 [8 per cell]
O 0.105 0.278 0.408 [32 per cell]

=====

Record 8
# Cu2PCl

Crystalline Cu2PCl at its relaxed geometry (PBE, Alexandria).

The value obtained for the total energy is -3.94 eV per atom. For the uncorrected formation energy, the calculation gives -82.5 meV/atom. As for the crystal system: monoclinic. The relative energy among the computed polymorphs is 13.1 meV per atom. The value obtained for the volume is 18.8 Å³/atom.

abc: 6.700 3.848 6.282
angles: 90.00 111.91 90.00
Space group Cm (No. 8)
Inequivalent atoms, fractional coordinates:
Cu 0.000 0.000 0.000 [2 per cell]
Cu 0.250 0.000 0.764 [2 per cell]
P 0.127 0.500 0.882 [2 per cell]
Cl 0.198 0.000 0.384 [2 per cell]

=====

Q: Which formula does entry 6 have?
A: LiZn12Au7